# 1
Ba2Co | Alexandria | PBE | relaxed; D(E_F) = 12.7 states/eV per cell; formation energy = 494 meV/atom
1.0
1.9535 -10.2117 0.0000
1.9535 10.2117 0.0000
0.0000 0.0000 5.7890
Ba Co
4 2
direct
0.6827 0.3173 0.7500
0.4399 0.5601 0.7500
0.3173 0.6827 0.2500
0.5601 0.4399 0.2500
0.0641 0.9359 0.7500
0.9359 0.0641 0.2500



# 2
BaCo3 | Alexandria | PBE | relaxed; D(E_F) = 7.0 states/eV per cell; formation energy = 1074 meV/atom
1.0
4.7710 0.0006 0.0000
0.7152 4.7171 0.0000
-2.7431 -2.3588 3.1103
Ba Co
1 3
direct
0.0000 0.0000 0.0000
0.2500 0.7500 0.5000
0.5000 0.5000 0.0000
0.7500 0.2500 0.5000



# 3
Ba3Co | Alexandria | PBE | relaxed; D(E_F) = 25.0 states/eV per cell; energy above the most stable polymorph in this dataset = 0.400 eV/atom; formation energy = 698 meV/atom
1.0
7.0019 0.0000 0.0000
0.0000 7.0019 0.0000
0.0000 0.0000 7.0019
Ba Co
6 2
direct
0.7500 0.5000 0.0000
0.2500 0.5000 0.0000
0.0000 0.7500 0.5000
0.0000 0.2500 0.5000
0.5000 0.0000 0.2500
0.5000 0.0000 0.7500
0.0000 0.0000 0.0000
0.5000 0.5000 0.5000



# 4
BaCo | Alexandria | PBE | relaxed; D(E_F) = 10.1 states/eV per cell; formation energy = 880 meV/atom
1.0
-2.0376 -2.2056 5.6221
3.6029 -4.0299 3.3770
0.5925 5.5714 -3.0386
Ba Co
2 2
direct
0.0000 0.0000 0.0000
0.2500 0.7500 0.5000
0.5000 0.5000 0.0000
0.7500 0.2500 0.5000



# 5
BaCo3 | Alexandria | PBE | relaxed; D(E_F) = 6.5 states/eV per cell; formation energy = 817 meV/atom
1.0
3.6273 0.0000 0.0000
-1.8136 3.1413 0.0000
0.0000 0.0000 7.2861
Ba Co
1 3
direct
0.0000 0.0000 0.0000
0.0000 0.0000 0.5000
0.6667 0.3333 0.3457
0.6667 0.3333 0.6543



# 6
BaCo | Alexandria | PBE | relaxed; D(E_F) = 22.1 states/eV per cell; formation energy = 387 meV/atom
1.0
11.7044 0.0000 0.0000
0.0000 11.7044 0.0000
0.0000 0.0000 4.0869
Ba Co
8 8
direct
0.5000 0.2444 0.0000
0.5000 0.7556 0.0000
0.7556 0.5000 0.0000
0.2444 0.5000 0.0000
0.0000 0.7444 0.5000
0.0000 0.2556 0.5000
0.2556 0.0000 0.5000
0.7444 0.0000 0.5000
0.2253 0.7743 0.0000
0.7747 0.2257 0.0000
0.2257 0.2253 0.0000
0.7743 0.7747 0.0000
0.7253 0.2743 0.5000
0.2747 0.7257 0.5000
0.7257 0.7253 0.5000
0.2743 0.2747 0.5000



# 7
BaCo | Alexandria | PBE | relaxed; D(E_F) = 40.1 states/eV per cell; formation energy = 707 meV/atom
1.0
-4.7161 -5.7662 5.3299
-0.6591 -5.9047 -6.9713
7.8245 -3.9729 2.6253
Ba Co
8 8
direct
0.2886 0.2886 0.2886
0.2886 0.7114 0.7114
0.7114 0.2886 0.7114
0.7114 0.7114 0.2886
0.7886 0.7886 0.7886
0.7886 0.2114 0.2114
0.2114 0.7886 0.2114
0.2114 0.2114 0.7886
0.0893 0.0893 0.0893
0.0893 0.9107 0.9107
0.9107 0.0893 0.9107
0.9107 0.9107 0.0893
0.5893 0.5893 0.5893
0.5893 0.4107 0.4107
0.4107 0.5893 0.4107
0.4107 0.4107 0.5893



# 8
Ba5Co4 | Alexandria | PBE | relaxed; D(E_F) = 14.8 states/eV per cell; energy above the most stable polymorph in this dataset = 0.064 eV/atom; formation energy = 772 meV/atom
1.0
3.0792 3.1258 6.1296
-5.7314 1.5600 -4.6412
-2.9826 -6.0736 3.3227
Ba Co
5 4
direct
0.0000 0.0000 0.0000
0.3150 0.6850 0.0000
0.6850 0.3150 0.0000
0.6850 0.6850 0.3700
0.3150 0.3150 0.6300
0.3912 0.0000 0.3912
0.6088 0.0000 0.6088
0.0000 0.6088 0.6088
0.0000 0.3912 0.3912